[1]
Computed, not measured: an optimized crystal structure of PrNdTmCd at the GGA-PBE level of DFT.

Total DFT energy (no corrections) = -3.882 eV per atom
Formation enthalpy at 0 K = -57 kJ/mol of formula units
Offset from the most stable computed form = 0.0000 eV per atom
Size of the total moment = 0.000 μB per formula unit

Unit cell a=3.676 b=3.676 c=9.082 alpha=90.00 beta=90.00 gamma=90.00
Fractional coordinates of all 4 atoms:
Pr 0.000 0.000 0.081
Nd 0.500 0.500 0.794
Tm 0.500 0.500 0.353
Cd 0.000 0.000 0.557

[2]
Computed, not measured: an optimized crystal structure of BCl at the GGA-PBE level of DFT.

Total DFT energy (no corrections) = -3.014 eV per atom
Offset from the most stable computed form = 1.8878 eV per atom
Size of the total moment = 0.000 μB per formula unit
Formation energy from raw total energies = 1.25 eV/atom

Unit cell a=8.956 b=8.956 c=2.941 alpha=90.00 beta=90.00 gamma=90.00
Fractional coordinates of all 8 atoms:
B 0.395 0.605 0.000
B 0.895 0.895 0.500
B 0.105 0.105 0.500
B 0.605 0.395 0.000
Cl 0.390 0.390 0.000
Cl 0.890 0.110 0.500
Cl 0.110 0.890 0.500
Cl 0.610 0.610 0.000

[3]
Computed, not measured: an optimized crystal structure of Ni2PdRu at the GGA-PBE level of DFT.

Total DFT energy (no corrections) = -5.914 eV per atom
Formation enthalpy at 0 K = 229 kJ/mol of formula units
Offset from the most stable computed form = 0.5122 eV per atom
Size of the total moment = 1.882 μB per formula unit

Unit cell a=6.572 b=6.572 c=5.339 alpha=52.01 beta=52.01 gamma=90.00
Fractional coordinates of all 8 atoms:
Ru 0.500 0.500 0.000
Ru 0.250 0.750 0.500
Pd 0.000 0.000 0.000
Pd 0.750 0.250 0.500
Ni 0.611 0.125 0.250
Ni 0.139 0.625 0.250
Ni 0.375 0.389 0.750
Ni 0.875 0.861 0.750

[4]
Computed, not measured: an optimized crystal structure of SrTeW at the GGA-PBE level of DFT.

Total DFT energy (no corrections) = -5.393 eV per atom
Offset from the most stable computed form = 0.2159 eV per atom
Size of the total moment = 0.164 μB per formula unit
Formation energy from raw total energies = 0.53 eV/atom

Unit cell a=3.586 b=3.586 c=7.179 alpha=90.00 beta=90.00 gamma=120.00
Fractional coordinates of all 3 atoms:
Sr 0.000 0.000 0.986
Te 0.667 0.333 0.384
W 0.333 0.667 0.630

[5]
Computed, not measured: an optimized crystal structure of Ac3MgIn2 at the GGA-PBE level of DFT.

Total DFT energy (no corrections) = -3.549 eV per atom
Formation enthalpy at 0 K = -183 kJ/mol of formula units
Offset from the most stable computed form = 0.0000 eV per atom
Size of the total moment = 0.000 μB per formula unit

Unit cell a=5.806 b=5.806 c=14.247 alpha=90.00 beta=90.00 gamma=120.00
Fractional coordinates of all 12 atoms:
Ac 0.333 0.667 0.418
Ac 0.667 0.333 0.080
Ac 0.000 0.000 0.752
Ac 0.000 0.000 0.248
Ac 0.333 0.667 0.920
Ac 0.667 0.333 0.582
Mg 0.333 0.667 0.669
Mg 0.667 0.333 0.331
In 0.000 0.000 0.500
In 0.333 0.667 0.174
In 0.667 0.333 0.826
In 0.000 0.000 0.000

[6]
Computed, not measured: an optimized crystal structure of ScTcIr2W at the GGA-PBE level of DFT.

Total DFT energy (no corrections) = -8.523 eV per atom
Formation enthalpy at 0 K = 459 kJ/mol of formula units
Size of the total moment = 0.000 μB per formula unit

Unit cell a=4.776 b=4.614 c=4.776 alpha=90.00 beta=90.00 gamma=90.00
Fractional coordinates of all 5 atoms:
Sc 0.500 0.500 0.500
Ir 0.000 0.000 0.500
Ir 0.500 0.000 0.000
Tc 0.000 0.500 0.000
W 0.000 0.000 0.000

[7]
Computed, not measured: an optimized crystal structure of Ba3LiCo at the GGA-PBE level of DFT.

Total DFT energy (no corrections) = -2.711 eV per atom
Formation enthalpy at 0 K = 119 kJ/mol of formula units
Offset from the most stable computed form = 0.0000 eV per atom
Size of the total moment = 0.001 μB per formula unit

Unit cell a=6.016 b=6.016 c=6.016 alpha=90.00 beta=90.00 gamma=90.00
Fractional coordinates of all 5 atoms:
Co 0.000 0.000 0.000
Ba 0.000 0.500 0.000
Ba 0.000 0.000 0.500
Ba 0.500 0.000 0.000
Li 0.500 0.500 0.500

[8]
Computed, not measured: an optimized crystal structure of BaPbBr2 at the GGA-PBE level of DFT.

Total DFT energy (no corrections) = -3.254 eV per atom
Offset from the most stable computed form = 0.1363 eV per atom
Size of the total moment = 1.005 μB per formula unit
Formation energy from raw total energies = -1.01 eV/atom

Unit cell a=5.754 b=5.754 c=5.754 alpha=60.00 beta=60.00 gamma=60.00
Fractional coordinates of all 4 atoms:
Pb 0.500 0.500 0.500
Ba 0.000 0.000 0.000
Br 0.250 0.250 0.250
Br 0.750 0.750 0.750